Record 1
8
Lattice="2.976 0.000 0.000 0.000 4.246 0.000 0.000 0.000 8.481" Properties=species:S:1:pos:R:3 comment="TiMn4W3 GGA-PBE optimized geometry" mass_density_g_cm3=12.69 total_magnetization_mub_per_cell=0.5 spacegroup=Pmmm total_energy_ev_per_atom=-10.4733 pbc="T T T"
Mn 0.000 0.000 4.241
Mn 0.000 2.123 6.362
Mn 0.000 0.000 0.000
Mn 0.000 2.123 2.119
W 1.488 0.000 2.101
W 1.488 2.123 4.241
W 1.488 0.000 6.380
Ti 1.488 2.123 0.000


Record 2
4
Lattice="-0.846 -1.034 3.353 1.484 -2.979 1.398 6.978 3.539 4.795" Properties=species:S:1:pos:R:3 comment="Tm2PdSe GGA-PBE optimized geometry" mass_density_g_cm3=8.62 formation_energy_uncorrected_ev_per_atom=-0.60 total_magnetization_mub_per_cell=0.0 spacegroup=R-3m total_energy_ev_per_atom=-5.0025 pbc="T T T"
Tm 5.017 2.125 3.864
Tm 2.599 -2.600 5.682
Se 3.808 -0.237 4.773
Pd 0.000 0.000 0.000


Record 3
5
Lattice="-3.030 -2.955 -3.789 4.523 -3.265 -1.071 -0.711 -6.338 1.254" Properties=species:S:1:pos:R:3 comment="RbHg2Cl2 GGA-PBE optimized geometry" mass_density_g_cm3=5.62 formation_energy_uncorrected_ev_per_atom=-0.79 total_magnetization_mub_per_cell=0.0 spacegroup=I4/mmm total_energy_ev_per_atom=-1.8458 pbc="T T T"
Hg 0.346 -3.997 -1.418
Hg 0.435 -8.561 -2.188
Rb 0.000 0.000 0.000
Cl -1.498 -6.201 -2.482
Cl 2.279 -6.356 -1.124


Record 4
5
Lattice="-1.358 6.289 -2.121 -6.495 -0.814 1.747 1.313 2.289 5.948" Properties=species:S:1:pos:R:3 comment="KRb2CdAg GGA-PBE optimized geometry" mass_density_g_cm3=2.39 total_magnetization_mub_per_cell=0.0 spacegroup=P4/mmm total_energy_ev_per_atom=-1.2065 pbc="T T T"
K 0.657 1.144 2.974
Rb -3.247 -0.407 0.874
Rb -0.679 3.145 -1.060
Ag 0.000 0.000 0.000
Cd -3.270 3.882 2.787


Record 5
14
Lattice="4.026 0.000 0.000 -2.013 6.524 0.000 0.000 0.000 13.396" Properties=species:S:1:pos:R:3 comment="Y4SnS2 GGA-PBE optimized geometry" mass_density_g_cm3=5.08 formation_energy_uncorrected_ev_per_atom=-1.42 total_magnetization_mub_per_cell=0.0 spacegroup=Cmcm total_energy_ev_per_atom=-6.8672 pbc="T T T"
Y 2.013 3.469 1.561
Y 2.013 3.469 5.137
Y 0.000 3.055 11.835
Y 0.000 3.055 8.260
Y 2.013 5.624 10.047
Y 0.000 0.900 3.349
Y 2.013 0.000 0.000
Y 2.013 0.000 6.698
Sn 2.013 1.407 10.047
Sn 0.000 5.116 3.349
S 0.000 1.745 5.912
S 2.013 4.779 12.610
S 0.000 1.745 0.787
S 2.013 4.779 7.485


Record 6
10
Lattice="3.296 0.000 0.000 0.000 3.296 0.000 0.000 0.000 17.232" Properties=species:S:1:pos:R:3 comment="HoSc4Pd5 GGA-PBE optimized geometry" mass_density_g_cm3=7.78 total_magnetization_mub_per_cell=0.0 spacegroup=P4/mmm total_energy_ev_per_atom=-6.4788 pbc="T T T"
Ho 0.000 0.000 0.000
Sc 0.000 0.000 3.559
Sc 0.000 0.000 6.934
Sc 0.000 0.000 10.298
Sc 0.000 0.000 13.673
Pd 1.648 1.648 1.941
Pd 1.648 1.648 5.254
Pd 1.648 1.648 8.616
Pd 1.648 1.648 11.977
Pd 1.648 1.648 15.290


Record 7
16
Lattice="3.966 -5.120 0.000 3.966 5.120 0.000 0.000 0.000 8.520" Properties=species:S:1:pos:R:3 comment="Mg14ZnC GGA-PBE optimized geometry" mass_density_g_cm3=2.00 total_magnetization_mub_per_cell=0.0 spacegroup=Amm2 total_energy_ev_per_atom=-1.8949 pbc="T T T"
Mg 3.966 3.569 0.000
Mg 3.966 -1.871 0.000
Mg 1.495 1.583 4.260
Mg 2.417 0.868 0.000
Mg 6.437 1.583 4.260
Mg 5.515 0.868 0.000
Mg 2.484 -1.022 5.806
Mg 2.484 -1.022 2.714
Mg 5.448 -1.022 5.806
Mg 5.448 -1.022 2.714
Mg 3.966 1.926 5.993
Mg 3.966 1.926 2.527
Mg 3.966 -4.355 6.714
Mg 3.966 -4.355 1.805
Zn 3.966 4.218 4.260
C 3.966 -1.871 4.260


Record 8
5
Lattice="5.309 0.000 0.000 0.000 5.309 0.000 0.000 0.000 5.309" Properties=species:S:1:pos:R:3 comment="Hg4Ir GGA-PBE optimized geometry" mass_density_g_cm3=11.04 total_magnetization_mub_per_cell=0.0 spacegroup=Pm-3m total_energy_ev_per_atom=-1.7382 pbc="T T T"
Ir 2.655 2.655 2.655
Hg 0.000 0.000 0.000
Hg 2.655 0.000 2.655
Hg 0.000 2.655 2.655
Hg 2.655 2.655 0.000


Record 9
18
Lattice="5.702 -0.213 -0.151 2.631 5.063 -0.151 2.631 1.531 4.829" Properties=species:S:1:pos:R:3 comment="Ce2MgCo3H12 GGA-PBE optimized geometry" mass_density_g_cm3=5.65 total_magnetization_mub_per_cell=2.8 spacegroup=R-3m total_energy_ev_per_atom=-4.4040 pbc="T T T"
Ce 6.617 3.852 2.732
Ce 4.346 2.530 1.794
Mg 0.000 0.000 0.000
Co 2.851 -0.107 -0.076
Co 1.315 2.532 -0.076
Co 1.315 0.766 2.414
H 4.847 2.821 4.193
H 8.358 4.865 1.674
H 6.899 5.693 4.038
H 6.645 1.800 1.277
H 8.358 3.188 4.038
H 4.847 4.890 1.277
H 6.116 3.560 0.334
H 2.606 1.517 2.853
H 4.064 0.689 0.488
H 4.318 4.582 3.250
H 2.606 3.194 0.488
H 6.116 1.492 3.250


Record 10
15
Lattice="7.979 1.042 1.076 0.793 8.008 1.076 0.793 0.818 8.038" Properties=species:S:1:pos:R:3 comment="PmGe6Te8 GGA-PBE optimized geometry" mass_density_g_cm3=5.38 formation_energy_uncorrected_ev_per_atom=-0.23 total_magnetization_mub_per_cell=0.0 spacegroup=R-3 total_energy_ev_per_atom=-4.0650 pbc="T T T"
Pm 0.000 0.000 0.000
Ge 6.105 4.673 8.253
Ge 4.480 8.048 6.510
Ge 7.904 6.354 4.936
Ge 3.461 5.195 1.938
Ge 5.085 1.821 3.681
Ge 1.661 3.514 5.255
Te 6.971 7.192 7.427
Te 2.594 2.677 2.764
Te 6.135 7.614 3.154
Te 7.419 2.947 6.467
Te 2.714 6.222 7.712
Te 3.431 2.254 7.038
Te 2.146 6.921 3.724
Te 6.851 3.646 2.479


Record 11
11
Lattice="5.834 0.082 -1.909 -2.289 4.486 -3.521 3.417 1.611 10.552" Properties=species:S:1:pos:R:3 comment="DyY6Er4 GGA-PBE optimized geometry" mass_density_g_cm3=6.54 total_magnetization_mub_per_cell=0.0 spacegroup=P1 total_energy_ev_per_atom=-5.5776 pbc="T T T"
Dy 2.574 3.063 -2.503
Y 5.378 1.610 2.753
Y 2.633 3.069 1.043
Y 2.717 3.082 4.597
Y -0.155 4.516 -4.207
Y 5.465 1.628 6.308
Y 2.807 3.102 8.154
Er 5.821 4.626 0.965
Er -0.094 4.524 -0.662
Er 5.906 4.651 4.510
Er 5.302 1.592 -0.776


Record 12
8
Lattice="-3.110 -2.979 -6.234 4.530 -2.398 -5.426 2.410 -6.600 -0.205" Properties=species:S:1:pos:R:3 comment="PuPtBr6 GGA-PBE optimized geometry" mass_density_g_cm3=5.15 formation_energy_uncorrected_ev_per_atom=-0.85 total_magnetization_mub_per_cell=4.0 spacegroup=C2/m total_energy_ev_per_atom=-4.6492 pbc="T T T"
Pu 0.000 0.000 0.000
Pt 0.710 -2.688 -5.830
Br 1.427 -7.786 -7.035
Br -0.894 -4.494 -5.293
Br 4.723 -7.482 -6.572
Br 2.402 -4.191 -4.830
Br 1.142 -4.265 -9.249
Br 0.277 -1.112 -2.411